Computed, not measured: an optimized crystal structure of CuAsW2 at the GGA-PBE level of DFT.

a = 4.183 Å, b = 2.792 Å, c = 5.304 Å
α = 79.50°, β = 90.00°, γ = 90.00°
Fractional positions:
W 0.000 0.459 0.507
W 0.000 0.041 0.993
Cu 0.500 0.750 0.750
As 0.500 0.250 0.250

Final energy: -8.2268 eV per atom
Energy of formation from the pure elements: 168 kJ/mol of formula units

***

Computed, not measured: an optimized crystal structure of Cu2AsW at the GGA-PBE level of DFT.

a = 4.837 Å, b = 4.837 Å, c = 4.837 Å
α = 134.94°, β = 134.92°, γ = 65.64°
Fractional positions:
As 0.250 0.750 0.500
W 0.500 0.500 0.000
Cu 0.750 0.250 0.500
Cu 0.000 0.000 0.000

Final energy: -6.1070 eV per atom
Energy of formation from the pure elements: 132 kJ/mol of formula units

***

Computed, not measured: an optimized crystal structure of Cu2AsW at the GGA-PBE level of DFT.

a = 4.892 Å, b = 4.892 Å, c = 4.783 Å
α = 66.94°, β = 66.94°, γ = 33.49°
Fractional positions:
As 0.239 0.239 0.352
Cu 0.010 0.010 0.904
Cu 0.754 0.754 0.839
W 0.497 0.497 0.406

Final energy: -6.1726 eV per atom
Energy of formation from the pure elements: 107 kJ/mol of formula units

***

Computed, not measured: an optimized crystal structure of YCuAs2 at the GGA-PBE level of DFT.

a = 4.808 Å, b = 4.808 Å, c = 4.808 Å
α = 60.00°, β = 60.00°, γ = 60.00°
Fractional positions:
Cu 0.500 0.500 0.500
Y 0.750 0.750 0.750
As 0.000 0.000 0.000
As 0.250 0.250 0.250

Final energy: -5.1559 eV per atom
Energy of formation from the pure elements: -74 kJ/mol of formula units

***

Computed, not measured: an optimized crystal structure of Y2CuAs2 at the GGA-PBE level of DFT.

a = 7.439 Å, b = 7.439 Å, c = 3.910 Å
α = 90.00°, β = 90.00°, γ = 90.00°
Fractional positions:
As 0.344 0.844 0.000
As 0.156 0.344 0.000
As 0.844 0.656 0.000
As 0.656 0.156 0.000
Cu 0.500 0.500 0.000
Cu 0.000 0.000 0.000
Y 0.658 0.842 0.500
Y 0.842 0.342 0.500
Y 0.342 0.158 0.500
Y 0.158 0.658 0.500

Final energy: -6.1430 eV per atom
Energy of formation from the pure elements: -424 kJ/mol of formula units

***

Computed, not measured: an optimized crystal structure of YCuAs2 at the GGA-PBE level of DFT.

a = 4.881 Å, b = 4.881 Å, c = 4.881 Å
α = 128.94°, β = 107.32°, γ = 94.24°
Fractional positions:
As 0.550 0.550 0.000
As 0.950 0.950 0.000
Y 0.250 0.750 0.500
Cu 0.750 0.250 0.500

Final energy: -5.4408 eV per atom
Energy of formation from the pure elements: -184 kJ/mol of formula units